# 1
First-principles (PBE-GGA) data for SrCr after structural relaxation, as listed in the Alexandria database. Values from VASP.

Quantum ESPRESSO input file:
```
&SYSTEM
  ibrav = 0, nat = 8, ntyp = 2
/
ATOMIC_SPECIES
Sr 87.62 Sr.upf
Cr 52.00 Cr.upf
ATOMIC_POSITIONS crystal
Sr 0.411 0.911 0.589
Sr 0.089 0.089 0.089
Sr 0.911 0.589 0.411
Sr 0.589 0.411 0.911
Cr 0.597 0.903 0.097
Cr 0.403 0.403 0.403
Cr 0.097 0.597 0.903
Cr 0.903 0.097 0.597
CELL_PARAMETERS angstrom
-2.528 -4.843 3.448
0.093 -3.779 -5.239
5.945 -2.000 1.548
```

Calculated values
- Total energy: -38.0 eV/cell
- Energy relative to the elements: 20.8 kcal/mol of atoms
- Total magnetic moment: 19.2 μB/cell

# 2
First-principles (PBE-GGA) data for SrCr after structural relaxation, as listed in the Alexandria database. Values from VASP.

Quantum ESPRESSO input file:
```
&SYSTEM
  ibrav = 0, nat = 8, ntyp = 2
/
ATOMIC_SPECIES
Sr 87.62 Sr.upf
Cr 52.00 Cr.upf
ATOMIC_POSITIONS crystal
Sr 0.684 0.316 0.500
Sr 0.816 0.816 0.000
Sr 0.184 0.184 0.000
Sr 0.316 0.684 0.500
Cr 0.407 0.593 0.000
Cr 0.907 0.907 0.500
Cr 0.593 0.407 0.000
Cr 0.093 0.093 0.500
CELL_PARAMETERS angstrom
-5.930 -0.087 3.122
2.031 -5.198 3.712
2.274 4.055 4.434
```

Calculated values
- Total energy: -36.0 eV/cell
- Energy relative to the elements: 26.7 kcal/mol of atoms
- Total magnetic moment: 0.6 μB/cell

# 3
First-principles (PBE-GGA) data for SrCr3 after structural relaxation, as listed in the Alexandria database. Values from VASP.

Quantum ESPRESSO input file:
```
&SYSTEM
  ibrav = 0, nat = 4, ntyp = 2
/
ATOMIC_SPECIES
Sr 87.62 Sr.upf
Cr 52.00 Cr.upf
ATOMIC_POSITIONS crystal
Sr 0.000 0.500 0.500
Cr 0.500 0.500 0.000
Cr 0.000 0.000 0.000
Cr 0.500 0.000 0.500
CELL_PARAMETERS angstrom
-5.873 -0.024 0.706
2.296 -4.170 -3.513
3.252 1.680 4.647
```

Calculated values
- Total energy: -25.0 eV/cell
- Energy relative to the elements: 32.0 kcal/mol of atoms
- Total magnetic moment: 12.6 μB/cell

# 4
First-principles (PBE-GGA) data for SrCr after structural relaxation, as listed in the Alexandria database. Values from VASP.

Quantum ESPRESSO input file:
```
&SYSTEM
  ibrav = 0, nat = 12, ntyp = 2
/
ATOMIC_SPECIES
Sr 87.62 Sr.upf
Cr 52.00 Cr.upf
ATOMIC_POSITIONS crystal
Sr 0.500 0.000 0.000
Sr 0.500 0.500 0.315
Sr 0.000 0.500 0.500
Sr 0.000 0.000 0.815
Sr 0.000 0.000 0.185
Sr 0.500 0.500 0.685
Cr 0.500 0.000 0.500
Cr 0.000 0.500 0.000
Cr 0.500 0.500 0.098
Cr 0.500 0.500 0.902
Cr 0.000 0.000 0.598
Cr 0.000 0.000 0.402
CELL_PARAMETERS angstrom
3.996 0.000 0.000
0.000 5.535 0.000
0.000 0.000 17.121
```

Calculated values
- Total energy: -60.4 eV/cell
- Energy relative to the elements: 14.3 kcal/mol of atoms
- Total magnetic moment: 9.7 μB/cell

# 5
First-principles (PBE-GGA) data for Sr4Cr5 after structural relaxation, as listed in the Alexandria database. Values from VASP.

Quantum ESPRESSO input file:
```
&SYSTEM
  ibrav = 0, nat = 9, ntyp = 2
/
ATOMIC_SPECIES
Cr 52.00 Cr.upf
Sr 87.62 Sr.upf
ATOMIC_POSITIONS crystal
Cr 0.408 0.592 0.000
Cr 0.592 0.408 0.000
Cr 0.592 0.592 0.184
Cr 0.000 0.000 0.000
Cr 0.408 0.408 0.816
Sr 0.716 0.000 0.716
Sr 0.000 0.716 0.716
Sr 0.000 0.284 0.284
Sr 0.284 0.000 0.284
CELL_PARAMETERS angstrom
-5.766 5.766 2.125
5.766 -5.766 2.125
5.766 5.766 -2.125
```

Calculated values
- Total energy: -48.0 eV/cell
- Energy relative to the elements: 17.6 kcal/mol of atoms
- Total magnetic moment: 1.5 μB/cell

# 6
First-principles (PBE-GGA) data for SrCr2 after structural relaxation, as listed in the Alexandria database. Values from VASP.

Quantum ESPRESSO input file:
```
&SYSTEM
  ibrav = 0, nat = 6, ntyp = 2
/
ATOMIC_SPECIES
Sr 87.62 Sr.upf
Cr 52.00 Cr.upf
ATOMIC_POSITIONS crystal
Sr 0.750 0.750 0.000
Sr 0.250 0.250 0.000
Cr 0.307 0.193 0.500
Cr 0.693 0.807 0.500
Cr 0.193 0.693 0.886
Cr 0.807 0.307 0.114
CELL_PARAMETERS angstrom
5.101 -0.236 4.149
4.228 5.034 0.271
-6.505 -0.980 0.134
```

Calculated values
- Total energy: -36.4 eV/cell
- Energy relative to the elements: 20.8 kcal/mol of atoms
- Total magnetic moment: 3.0 μB/cell

# 7
First-principles (PBE-GGA) data for SrCr after structural relaxation, as listed in the Alexandria database. Values from VASP.

Quantum ESPRESSO input file:
```
&SYSTEM
  ibrav = 0, nat = 16, ntyp = 2
/
ATOMIC_SPECIES
Sr 87.62 Sr.upf
Cr 52.00 Cr.upf
ATOMIC_POSITIONS crystal
Sr 0.245 0.500 0.000
Sr 0.755 0.500 0.000
Sr 0.500 0.245 0.000
Sr 0.255 0.000 0.500
Sr 0.000 0.255 0.500
Sr 0.500 0.755 0.000
Sr 0.000 0.745 0.500
Sr 0.745 0.000 0.500
Cr 0.770 0.230 0.000
Cr 0.730 0.730 0.500
Cr 0.770 0.770 0.000
Cr 0.270 0.270 0.500
Cr 0.270 0.730 0.500
Cr 0.230 0.770 0.000
Cr 0.230 0.230 0.000
Cr 0.730 0.270 0.500
CELL_PARAMETERS angstrom
11.889 0.000 0.000
0.000 11.889 0.000
0.000 0.000 3.974
```

Calculated values
- Total energy: -75.2 eV/cell
- Energy relative to the elements: 21.9 kcal/mol of atoms
- Total magnetic moment: 10.2 μB/cell

# 8
First-principles (PBE-GGA) data for SrCr2 after structural relaxation, as listed in the Alexandria database. Values from VASP.

Quantum ESPRESSO input file:
```
&SYSTEM
  ibrav = 0, nat = 6, ntyp = 2
/
ATOMIC_SPECIES
Cr 52.00 Cr.upf
Sr 87.62 Sr.upf
ATOMIC_POSITIONS crystal
Cr 0.715 0.715 0.361
Cr 0.714 0.714 0.863
Cr 0.286 0.286 0.137
Cr 0.285 0.285 0.639
Sr 0.999 0.999 0.250
Sr 0.001 0.001 0.750
CELL_PARAMETERS angstrom
6.014 -2.676 -0.627
6.324 0.392 1.889
1.834 -3.967 4.611
```

Calculated values
- Total energy: -37.2 eV/cell
- Energy relative to the elements: 18.1 kcal/mol of atoms
- Total magnetic moment: 0.0 μB/cell